[1]
# MoS2Br

A geometry-optimized MoS2Br structure (PBE, the Alexandria database).

## Properties
Total moment, μB per atom: 0.00
Uncorrected formation energy, eV/atom: -0.240
D(E_F), states/eV per atom: 0.868
E_tot, eV/f.u.: -21.720

a b c (Å): 8.277 8.277 8.277
angles (deg): 23.72 23.72 23.72
Element x y z (fractional)
S  0.894  0.894  0.894
S  0.106  0.106  0.106
Mo  0.500  0.500  0.500
Br  0.000  0.000  0.000



[2]
# MoSBr

A geometry-optimized MoSBr structure (PBE, the Alexandria database).

## Properties
Total moment, μB per atom: 0.00
Uncorrected formation energy, eV/atom: -0.754
E_tot, eV/f.u.: -18.894

a b c (Å): 7.125 7.125 7.125
angles (deg): 60.00 60.00 60.00
Element x y z (fractional)
Mo  0.545  0.152  0.152
Mo  0.152  0.152  0.152
Mo  0.152  0.545  0.152
Mo  0.152  0.152  0.545
S  0.381  0.381  0.857
S  0.381  0.381  0.381
S  0.381  0.857  0.381
S  0.857  0.381  0.381
Br  0.879  0.879  0.879
Br  0.364  0.879  0.879
Br  0.879  0.364  0.879
Br  0.879  0.879  0.364



[3]
# MoSBr3

A geometry-optimized MoSBr3 structure (PBE, the Alexandria database).

## Properties
Total moment, μB per atom: 0.20
Uncorrected formation energy, eV/atom: -0.516
E_tot, eV/f.u.: -22.556

a b c (Å): 7.250 7.990 12.789
angles (deg): 87.93 85.44 63.02
Each line ends with the local moment (μB).
Element x y z (fractional)
S  0.961  0.340  0.717  -0.03
S  0.039  0.660  0.283  -0.03
S  0.301  0.660  0.217  -0.03
S  0.699  0.340  0.783  -0.03
Mo  0.013  0.098  0.850  0.82
Mo  0.111  0.902  0.350  0.82
Mo  0.987  0.902  0.150  0.82
Mo  0.889  0.098  0.650  0.82
Br  0.219  0.799  0.970  0.01
Br  0.018  0.201  0.470  0.01
Br  0.982  0.799  0.530  0.01
Br  0.781  0.201  0.030  0.01
Br  0.466  0.771  0.420  0.05
Br  0.818  0.903  0.798  0.02
Br  0.534  0.229  0.580  0.05
Br  0.279  0.903  0.702  0.02
Br  0.237  0.229  0.920  0.05
Br  0.182  0.097  0.202  0.02
Br  0.721  0.097  0.298  0.02
Br  0.763  0.771  0.080  0.05



[4]
# Mo2SBr

A geometry-optimized Mo2SBr structure (PBE, the Alexandria database).

## Properties
Total moment, μB per atom: 0.00
Uncorrected formation energy, eV/atom: 0.635
D(E_F), states/eV per atom: 1.437
E_tot, eV/f.u.: -24.922

a b c (Å): 5.742 5.742 6.499
angles (deg): 63.78 63.78 90.00
Element x y z (fractional)
Mo  0.592  0.125  0.250
Mo  0.375  0.408  0.750
Mo  0.875  0.842  0.750
Mo  0.158  0.625  0.250
S  0.500  0.500  0.000
S  0.250  0.750  0.500
Br  0.000  0.000  0.000
Br  0.750  0.250  0.500



[5]
# MoS2Br

A geometry-optimized MoS2Br structure (PBE, the Alexandria database).

## Properties
Total moment, μB per atom: 0.00
Uncorrected formation energy, eV/atom: -0.060
D(E_F), states/eV per atom: 0.320
E_tot, eV/f.u.: -21.000

a b c (Å): 6.635 6.635 6.744
angles (deg): 60.53 60.53 90.00
Element x y z (fractional)
Mo  0.000  0.000  0.000
Mo  0.750  0.250  0.500
S  0.875  0.988  0.750
S  0.738  0.125  0.250
S  0.012  0.625  0.250
S  0.375  0.262  0.750
Br  0.500  0.500  0.000
Br  0.250  0.750  0.500



[6]
# MoSBr2

A geometry-optimized MoSBr2 structure (PBE, the Alexandria database).

## Properties
Total moment, μB per atom: 0.00
Uncorrected formation energy, eV/atom: 0.908
D(E_F), states/eV per atom: 1.006
E_tot, eV/f.u.: -14.673

a b c (Å): 4.706 4.706 4.706
angles (deg): 60.00 60.00 60.00
Element x y z (fractional)
Mo  0.500  0.500  0.500
S  0.000  0.000  0.000
Br  0.250  0.250  0.250
Br  0.750  0.750  0.750



Q: The highest E_tot belongs to which entry?
A: MoSBr2